1.
Entry from Alexandria via LeMat-Bulk: a PBEsol-optimized structure of TlCd2As2 (meta-GGA SCAN).

SG: I4/mmm, No. 139

abc: 4.450 4.450 6.819
angles: 109.04 109.04 90.00
Fractional coordinates of all 5 atoms:
Tl 0.000 0.000 0.000
As 0.386 0.386 0.773
As 0.614 0.614 0.227
Cd 0.250 0.750 0.500
Cd 0.750 0.250 0.500

=====

2.
Entry from Alexandria via LeMat-Bulk: a PBEsol-optimized structure of Hf2VIr (meta-GGA SCAN).

SG: Fm-3m, No. 225

abc: 4.568 4.568 4.568
angles: 60.00 60.00 60.00
Site moments in Bohr magnetons follow the coordinates.
Fractional coordinates of all 4 atoms:
Ir 0.500 0.500 0.500  -0.05
Hf 0.250 0.250 0.250  -0.04
Hf 0.750 0.750 0.750  -0.04
V 0.000 0.000 0.000  1.87

=====

Raw total energy list, top to bottom, in eV/atom: -34.727, -54.205
Magnetic moment list, top to bottom, in μB/cell: 0.0, 1.9